(1)
The following is a PBE calculation of an optimized crystal structure of NaAs2Pd2, from the Open Quantum Materials Database. Values from VASP.

The value obtained for the total energy is -0.170 Ha/atom. Its symmetry is No. 139. As for the energy above the most stable polymorph in this dataset: 0.000 eV per atom.

Quantum ESPRESSO input file:
```
&SYSTEM
  ibrav = 0, nat = 5, ntyp = 3
/
ATOMIC_SPECIES
As 74.92 As.upf
Pd 106.42 Pd.upf
Na 22.99 Na.upf
CELL_PARAMETERS angstrom
-3.4405 -4.8063 0.8753
-5.9357 0.6861 0.0213
4.6198 1.5618 -3.4529
ATOMIC_POSITIONS angstrom
As -5.8317 -2.5626 0.5577
As -3.5445 -1.5576 0.3390
Pd -1.7545 -2.6523 -1.0646
Pd -3.0021 0.0939 -1.4916
Na 0.0000 0.0000 0.0000
```

(2)
The following is a PBE calculation of an optimized crystal structure of LuPu2, from the Open Quantum Materials Database. Values from VASP.

As for the formation enthalpy at 0 K: 2.382 eV/atom. The value obtained for the total energy is -0.314 Ha/atom. Its symmetry is No. 227.

Quantum ESPRESSO input file:
```
&SYSTEM
  ibrav = 0, nat = 6, ntyp = 2
/
ATOMIC_SPECIES
Lu 174.97 Lu.upf
Pu 244.00 Pu.upf
CELL_PARAMETERS angstrom
5.0406 2.9102 8.2313
-5.0406 2.9102 8.2313
0.0000 -5.8204 8.2313
ATOMIC_POSITIONS angstrom
Lu 0.0000 0.0000 6.1735
Lu 0.0000 0.0000 12.3470
Pu 0.0000 0.0000 9.2602
Pu 0.0000 -2.9102 13.3759
Pu 2.5203 1.4551 13.3759
Pu -2.5203 1.4551 13.3759
```

(3)
The following is a PBE calculation of an optimized crystal structure of Pr3Sm3CoTe2, from the Open Quantum Materials Database. Values from VASP.

The value obtained for the total energy is -0.196 Ha/atom. Its symmetry is No. 189. As for the energy above the most stable polymorph in this dataset: 0.000 eV per atom.

Quantum ESPRESSO input file:
```
&SYSTEM
  ibrav = 0, nat = 9, ntyp = 4
/
ATOMIC_SPECIES
Co 58.93 Co.upf
Pr 140.91 Pr.upf
Sm 150.36 Sm.upf
Te 127.60 Te.upf
CELL_PARAMETERS angstrom
-4.7266 -4.9766 -5.2228
7.3742 3.4533 -2.8428
2.0049 -3.2362 1.2693
ATOMIC_POSITIONS angstrom
Co 0.0000 0.0000 0.0000
Pr 3.0114 1.4102 -1.1609
Pr 1.5664 -0.9013 -4.7719
Pr -1.9302 -2.0323 -2.1328
Sm 1.6231 -1.9752 -1.2561
Sm -2.6161 -5.4281 -3.3638
Sm 6.6479 1.0256 -1.5417
Te 0.3094 -3.7848 -3.7948
Te 4.3430 -0.9748 -3.0015
```

(4)
The following is a PBE calculation of an optimized crystal structure of TlFeCuSeS2, from the Open Quantum Materials Database. Values from VASP.

The value obtained for the total energy is -0.168 Ha/atom. Its symmetry is No. 63.

Quantum ESPRESSO input file:
```
&SYSTEM
  ibrav = 0, nat = 12, ntyp = 5
/
ATOMIC_SPECIES
Cu 63.55 Cu.upf
S 32.06 S.upf
Fe 55.84 Fe.upf
Tl 204.38 Tl.upf
Se 78.96 Se.upf
CELL_PARAMETERS angstrom
1.7319 -7.2741 0.0000
1.7319 7.2741 0.0000
0.0000 0.0000 9.5945
ATOMIC_POSITIONS angstrom
Cu 1.7319 0.7046 7.1959
Cu 1.7319 -0.7046 2.3986
S 1.7319 1.5190 9.2788
S 1.7319 -1.5190 4.4815
S 1.7319 1.5190 5.1131
S 1.7319 -1.5190 0.3158
Fe 0.0000 0.0000 0.0000
Fe 0.0000 0.0000 4.7973
Tl 1.7319 3.7911 2.3986
Tl 1.7319 -3.7911 7.1959
Se 1.7319 -6.2953 2.3986
Se 1.7319 6.2953 7.1959
```

(5)
The following is a PBE calculation of an optimized crystal structure of LiBeZnFe, from the Open Quantum Materials Database. Values from VASP.

The value obtained for the total energy is -0.135 Ha/atom. Its symmetry is No. 216. As for the energy above the most stable polymorph in this dataset: 0.008 eV per atom.

Quantum ESPRESSO input file:
```
&SYSTEM
  ibrav = 0, nat = 4, ntyp = 4
/
ATOMIC_SPECIES
Fe 55.84 Fe.upf
Zn 65.41 Zn.upf
Li 6.94 Li.upf
Be 9.01 Be.upf
CELL_PARAMETERS angstrom
-2.9990 -2.4666 0.7333
-2.8981 1.0884 2.4560
-3.6015 0.7910 -1.4212
ATOMIC_POSITIONS angstrom
Fe -4.7493 -0.2936 0.8841
Zn 0.0000 0.0000 0.0000
Li -2.3746 -0.1468 0.4420
Be -7.1240 -0.4404 1.3261
```

(6)
The following is a PBE calculation of an optimized crystal structure of KTaTl2Se4, from the Open Quantum Materials Database. Values from VASP.

The value obtained for the total energy is -0.174 Ha/atom. Its symmetry is No. 121.

Quantum ESPRESSO input file:
```
&SYSTEM
  ibrav = 0, nat = 8, ntyp = 4
/
ATOMIC_SPECIES
Ta 180.95 Ta.upf
Se 78.96 Se.upf
K 39.10 K.upf
Tl 204.38 Tl.upf
CELL_PARAMETERS angstrom
-4.0135 4.0135 4.0957
4.0135 -4.0135 4.0957
4.0135 4.0135 -4.0957
ATOMIC_POSITIONS angstrom
Ta 0.0000 0.0000 4.0957
Se 1.4214 -1.4214 2.7461
Se -1.4214 1.4214 2.7461
Se 1.4214 1.4214 5.4452
Se 2.5921 2.5921 1.3496
K 0.0000 0.0000 0.0000
Tl 4.0135 0.0000 0.0000
Tl 0.0000 4.0135 0.0000
```

(7)
The following is a PBE calculation of an optimized crystal structure of RbMoPd, from the Open Quantum Materials Database. Values from VASP.

The value obtained for the total energy is -0.151 Ha/atom. Its symmetry is No. 216. As for the energy above the most stable polymorph in this dataset: 0.000 eV per atom.

Quantum ESPRESSO input file:
```
&SYSTEM
  ibrav = 0, nat = 3, ntyp = 3
/
ATOMIC_SPECIES
Pd 106.42 Pd.upf
Rb 85.47 Rb.upf
Mo 95.94 Mo.upf
CELL_PARAMETERS angstrom
-0.4311 -4.4179 2.3185
3.6632 -1.6176 3.0073
-0.7179 -0.1688 4.9533
ATOMIC_POSITIONS angstrom
Pd 0.0000 0.0000 0.0000
Rb 1.8857 -4.6533 7.7094
Mo 0.6285 -1.5511 2.5698
```

(8)
The following is a PBE calculation of an optimized crystal structure of PrTmTlTe3, from the Open Quantum Materials Database. Values from VASP.

The value obtained for the total energy is -0.165 Ha/atom. Its symmetry is No. 63. As for the energy above the most stable polymorph in this dataset: 0.000 eV per atom.

Quantum ESPRESSO input file:
```
&SYSTEM
  ibrav = 0, nat = 12, ntyp = 4
/
ATOMIC_SPECIES
Tl 204.38 Tl.upf
Pr 140.91 Pr.upf
Te 127.60 Te.upf
Tm 168.93 Tm.upf
CELL_PARAMETERS angstrom
2.2852 -7.7500 0.0000
2.2852 7.7500 0.0000
0.0000 0.0000 12.2776
ATOMIC_POSITIONS angstrom
Tl 2.2852 3.8692 3.0694
Tl 2.2852 -3.8692 9.2082
Pr 2.2852 0.0000 6.1388
Pr 2.2852 0.0000 0.0000
Te 2.2852 -5.5118 0.5712
Te 2.2852 -5.5118 5.5676
Te 2.2852 -1.0855 3.0694
Te 2.2852 5.5118 11.7064
Te 2.2852 1.0855 9.2082
Te 2.2852 5.5118 6.7100
Tm 2.2852 -6.9702 3.0694
Tm 2.2852 6.9702 9.2082
```